Record 1
DFT (PBE) results for a relaxed structure of KYTiRh2.

Structure (POSCAR):
```
KYTiRh2
1.0
-2.130 -4.136 0.666
3.609 -1.331 3.278
-2.507 1.857 3.515
K Rh Ti Y
1 2 1 1
Cartesian
1.804 -0.666 1.639 K
-1.254 0.929 1.757 Rh
-1.065 -2.068 0.333 Rh
0.000 0.000 0.000 Ti
-0.514 -1.805 3.729 Y
```

Values from the calculation:
As for the formation energy: 0.46 eV/atom. The total energy comes out at -5.576 eV per atom. As for the mass density: 5.7 Mg/m³.

Record 2
DFT (PBE) results for a relaxed structure of Ba2Tl4In.

Structure (POSCAR):
```
Ba2Tl4In
1.0
-5.674 0.228 0.877
-0.874 -2.842 -4.917
-2.903 -9.079 2.405
Tl In Ba
4 1 2
Cartesian
-2.837 0.114 0.438 Tl
-6.425 -5.201 -2.567 Tl
-0.437 -1.421 -2.459 Tl
-3.027 -6.491 0.932 Tl
0.000 0.000 0.000 In
-3.172 -3.459 -0.795 Ba
-6.280 -8.233 -0.841 Ba
```

Values from the calculation:
As for the formation energy: -0.08 eV/atom. For the energy above the most stable polymorph in this dataset, the calculation gives 233.8 meV per atom. The total energy comes out at -2.373 eV per atom. As for the mass density: 6.8 Mg/m³.

Record 3
DFT (PBE) results for a relaxed structure of SiS2Br.

Structure (POSCAR):
```
SiS2Br
1.0
-5.760 -4.134 7.942
-5.996 -7.041 5.274
-2.861 -6.807 7.670
S Br Si
2 1 1
Cartesian
-13.710 -16.867 19.590 S
-0.907 -1.116 1.296 S
-7.308 -8.991 10.443 Br
0.000 0.000 0.000 Si
```

Values from the calculation:
The calculation puts the uncorrected formation energy at 0.40 eV/atom. For the energy above the most stable polymorph in this dataset, the calculation gives 681.5 meV per atom. The total energy comes out at -3.435 eV per atom. As for the mass density: 2.0 Mg/m³.

Record 4
DFT (PBE) results for a relaxed structure of MgTaOs2.

Structure (POSCAR):
```
MgTaOs2
1.0
2.815 -0.005 0.000
-1.086 2.597 0.000
0.000 0.000 8.808
Ta Os Mg
1 2 1
Cartesian
0.865 1.296 2.202 Ta
0.000 0.000 4.336 Os
0.000 0.000 0.068 Os
0.865 1.296 6.606 Mg
```

Values from the calculation:
As for the formation energy: 0.09 eV/atom. The total energy comes out at -8.889 eV per atom. As for the mass density: 15.1 Mg/m³.

Record 5
DFT (PBE) results for a relaxed structure of Zr8Sn2Bi.

Structure (POSCAR):
```
Zr8Sn2Bi
1.0
5.456 -0.326 -0.489
-1.351 7.673 -0.602
-1.351 -3.511 6.849
Zr Bi Sn
8 1 2
Cartesian
2.556 4.297 3.700 Zr
2.556 1.760 5.391 Zr
1.378 4.968 0.847 Zr
0.199 2.076 0.367 Zr
0.199 -0.461 2.057 Zr
2.699 1.487 2.231 Zr
0.056 2.349 3.526 Zr
1.378 -1.132 4.911 Zr
2.728 -0.163 -0.245 Bi
-1.351 -0.089 4.569 Sn
-1.351 4.251 1.677 Sn
```

Values from the calculation:
As for the formation energy: -0.15 eV/atom. The total energy comes out at -7.450 eV per atom. As for the mass density: 7.4 Mg/m³.

Record 6
DFT (PBE) results for a relaxed structure of V3MoRu2.

Structure (POSCAR):
```
V3MoRu2
1.0
4.285 0.000 0.017
2.142 6.424 0.008
-0.024 0.000 6.065
V Ru Mo
6 4 2
Cartesian
2.124 4.266 4.581 V
2.136 4.266 1.501 V
2.124 0.000 4.577 V
2.136 0.000 1.504 V
4.279 2.158 1.509 V
4.267 2.158 4.590 V
2.130 2.134 3.041 Ru
-0.012 0.000 3.032 Ru
0.000 0.000 0.000 Ru
4.273 4.290 3.049 Ru
2.142 2.122 0.008 Mo
4.285 4.303 0.017 Mo
```

Values from the calculation:
As for the formation energy: -0.27 eV/atom. For the energy above the most stable polymorph in this dataset, the calculation gives 0.0 meV per atom. The total energy comes out at -9.724 eV per atom. As for the mass density: 9.0 Mg/m³.

Record 7
DFT (PBE) results for a relaxed structure of KAs2.

Structure (POSCAR):
```
KAs2
1.0
-1.909 -1.967 2.430
5.405 -2.907 1.894
1.145 5.746 5.551
As K
4 2
Cartesian
2.303 2.252 7.774 As
0.208 2.947 3.930 As
2.338 -1.379 2.101 As
-0.972 0.833 4.051 As
0.000 0.000 0.000 K
2.320 0.436 4.937 K
```

Values from the calculation:
As for the formation energy: -0.27 eV/atom. The total energy comes out at -3.732 eV per atom. As for the mass density: 3.3 Mg/m³.

Record 8
DFT (PBE) results for a relaxed structure of NbVRe2B.

Structure (POSCAR):
```
NbVRe2B
1.0
4.795 0.000 0.000
0.000 4.016 0.000
0.000 0.000 4.795
V Nb Re B
1 1 2 1
Cartesian
2.397 2.008 2.397 V
0.000 0.000 0.000 Nb
0.000 0.000 2.397 Re
2.397 0.000 0.000 Re
0.000 2.008 0.000 B
```

Values from the calculation:
As for the formation energy: 2.24 eV/atom. The total energy comes out at -7.917 eV per atom. As for the mass density: 9.5 Mg/m³.